DFT (PBE) results for NaSnTe4Au3 after structural relaxation.

E above lowest polymorph   0.000 eV/atom

a = 6.463 Å, b = 8.675 Å, c = 9.886 Å
α = 90.00°, β = 101.96°, γ = 90.00°
Fractional positions:
Te  0.557  0.507  0.256
Te  0.557  0.993  0.256
Te  0.443  0.493  0.744
Te  0.826  0.750  0.495
Te  0.443  0.007  0.744
Te  0.029  0.750  0.087
Te  0.174  0.250  0.505
Te  0.971  0.250  0.913
Sn  0.755  0.750  0.797
Sn  0.245  0.250  0.203
Na  0.711  0.250  0.567
Na  0.289  0.750  0.433
Au  0.709  0.070  0.026
Au  0.291  0.930  0.974
Au  0.709  0.430  0.026
Au  0.291  0.570  0.974
Au  0.154  0.750  0.720
Au  0.846  0.250  0.280